CrBi | GGA-PBE | relaxed

Calculated values
The total energy comes out at -6.29 eV/atom. As for the crystal system: hexagonal. The calculation puts the density at 9.98 Mg/m³. As for the space group: No. 194.

a = 8.0940 Å, b = 8.0940 Å, c = 4.5913 Å
α = 90.00°, β = 90.00°, γ = 120.00°
Last column: nearest neighbours and their distance in Å.
Atoms (fractional coordinates):
Bi 0.1868 0.8132 0.7500  6 Cr 2.92-2.94
Cr 0.5733 0.4267 0.7500  2 Cr 2.27
Bi 0.1868 0.3736 0.7500  6 Cr 2.92-2.94
Cr 0.4267 0.5733 0.2500  2 Cr 2.27
Bi 0.6264 0.8132 0.7500  6 Cr 2.92-2.94
Bi 0.3736 0.1868 0.2500  6 Cr 2.92-2.94
Cr 0.8535 0.4267 0.7500  2 Cr 2.27
Bi 0.8132 0.6264 0.2500  6 Cr 2.92-2.94
Cr 0.1465 0.5733 0.2500  2 Cr 2.27
Bi 0.8132 0.1868 0.2500  6 Cr 2.92-2.94
Cr 0.4267 0.8535 0.2500  2 Cr 2.27
Cr 0.5733 0.1465 0.7500  2 Cr 2.27

***

AcAl7Cu12 | GGA-PBE | relaxed

Calculated values
The total energy comes out at -4.06 eV/atom. As for the crystal system: trigonal. The calculation puts the density at 6.50 Mg/m³. As for the space group: No. 166.

a = 6.5392 Å, b = 7.6089 Å, c = 7.6089 Å
α = 112.14°, β = 106.65°, γ = 106.65°
Last column: nearest neighbours and their distance in Å.
Atoms (fractional coordinates):
Cu 0.0516 0.6586 0.6586  3 Cu 2.42-2.56, 3 Al 2.54-2.61
Al 0.5560 0.3514 0.3514  5 Cu 2.45-2.61
Ac 0.0000 0.0000 0.0000  12 Cu 3.09-3.44, 8 Al 3.27-3.31
Al 0.2046 0.0000 0.6486  5 Cu 2.45-2.61
Cu 0.6070 0.0000 0.6586  3 Cu 2.42-2.56, 3 Al 2.54-2.61
Cu 0.7273 0.4546 0.7273  2 Al 2.45, 4 Cu 2.55-2.56
Cu 0.3930 0.0000 0.3414  3 Cu 2.42-2.56, 3 Al 2.54-2.61
Al 0.2046 0.6486 0.0000  5 Cu 2.45-2.61
Cu 0.7273 0.7273 0.4546  2 Al 2.45, 4 Cu 2.55-2.56
Cu 0.0000 0.2727 0.7273  2 Al 2.45, 4 Cu 2.55-2.56
Cu 0.9484 0.3414 0.3414  3 Cu 2.42-2.56, 3 Al 2.54-2.61
Al 0.7954 0.0000 0.3514  5 Cu 2.45-2.61
Cu 0.6070 0.6586 0.0000  3 Cu 2.42-2.56, 3 Al 2.54-2.61
Cu 0.2727 0.5454 0.2727  2 Al 2.45, 4 Cu 2.55-2.56
Al 0.4440 0.6486 0.6486  5 Cu 2.45-2.61
Al 0.5000 0.0000 0.0000  6 Al 2.81, 6 Cu 2.88
Cu 0.2727 0.2727 0.5454  2 Al 2.45, 4 Cu 2.55-2.56
Cu 0.3930 0.3414 0.0000  3 Cu 2.42-2.56, 3 Al 2.54-2.61
Al 0.7954 0.3514 0.0000  5 Cu 2.45-2.61
Cu 0.0000 0.7273 0.2727  2 Al 2.45, 4 Cu 2.55-2.56

***

Pm3Zn2Co4 | GGA-PBE | relaxed

Calculated values
The total energy comes out at -5.15 eV/atom. As for the crystal system: hexagonal. The calculation puts the density at 7.60 Mg/m³. As for the space group: No. 187.

a = 4.0719 Å, b = 4.0719 Å, c = 24.4009 Å
α = 90.00°, β = 90.00°, γ = 120.00°
Last column: nearest neighbours and their distance in Å.
Atoms (fractional coordinates):
Pm 0.3333 0.6667 0.0716  6 Co 3.02, 6 Zn 3.30
Co 0.6667 0.3333 0.3394  3 Co 2.35
Zn 0.0000 0.0000 0.1666  3 Zn 2.35
Co 0.6667 0.3333 0.5031  3 Zn 2.35
Co 0.6667 0.3333 0.8304  3 Zn 2.35
Co 0.0000 0.0000 0.3393  3 Co 2.35
Co 0.6667 0.3333 0.6668  3 Co 2.35
Pm 0.3333 0.6667 0.9135  9 Co 3.06-3.10, 3 Zn 3.11
Co 0.6667 0.3333 0.9938  3 Co 2.35
Zn 0.6667 0.3333 0.1665  3 Zn 2.35
Pm 0.3333 0.6667 0.5867  9 Co 3.06-3.11, 3 Zn 3.11
Zn 0.0000 0.0000 0.5032  3 Co 2.35
Pm 0.3333 0.6667 0.7468  9 Co 3.06-3.11, 3 Zn 3.11
Zn 0.0000 0.0000 0.8303  3 Co 2.35
Pm 0.3333 0.6667 0.4199  9 Co 3.06-3.11, 3 Zn 3.11
Co 0.0000 0.0000 0.9939  3 Co 2.35
Pm 0.3333 0.6667 0.2616  6 Co 3.02, 6 Zn 3.30
Co 0.0000 0.0000 0.6668  3 Co 2.35

***

Pu3TlHg5 | GGA-PBE | relaxed

Calculated values
The total energy comes out at -5.12 eV/atom. As for the crystal system: orthorhombic. The calculation puts the density at 12.43 Mg/m³. As for the space group: No. 63.

a = 6.0975 Å, b = 8.7236 Å, c = 10.6711 Å
α = 114.13°, β = 90.00°, γ = 90.00°
Last column: nearest neighbours and their distance in Å.
Atoms (fractional coordinates):
Hg 0.7500 0.5043 0.2863  1 Hg 2.86, 2 Pu 3.11-3.20
Tl 0.0000 0.0000 0.0000  4 Hg 2.92-3.10, 2 Tl 3.05
Hg 0.0000 0.8407 0.6814  2 Hg 3.05, 1 Tl 3.10, 4 Pu 3.31-3.34
Pu 0.2500 0.3653 0.0000  3 Hg 3.05-3.13
Hg 0.0000 0.1593 0.3186  2 Hg 3.05, 1 Tl 3.10, 4 Pu 3.31-3.34
Hg 0.7500 0.2180 0.7137  1 Hg 2.86, 2 Pu 3.11-3.20
Hg 0.2500 0.7820 0.2863  1 Hg 2.86, 2 Pu 3.11-3.20
Pu 0.7500 0.8951 0.4275  8 Hg 3.11-3.36
Hg 0.7500 0.2856 0.0000  2 Hg 2.86, 2 Tl 2.92, 3 Pu 3.05-3.13
Hg 0.2500 0.4957 0.7137  1 Hg 2.86, 2 Pu 3.11-3.20
Hg 0.5000 0.8407 0.6814  2 Hg 3.05, 1 Tl 3.10, 4 Pu 3.31-3.34
Pu 0.7500 0.4676 0.5725  8 Hg 3.11-3.36
Pu 0.2500 0.5324 0.4275  8 Hg 3.11-3.36
Hg 0.2500 0.7144 0.0000  2 Hg 2.86, 2 Tl 2.92, 3 Pu 3.05-3.13
Tl 0.5000 0.0000 0.0000  4 Hg 2.92-3.10, 2 Tl 3.05
Hg 0.5000 0.1593 0.3186  2 Hg 3.05, 1 Tl 3.10, 4 Pu 3.31-3.34
Pu 0.2500 0.1049 0.5725  8 Hg 3.11-3.36
Pu 0.7500 0.6347 0.0000  3 Hg 3.05-3.13

***

Sm3Y4In | GGA-PBE | relaxed

Calculated values
The total energy comes out at -5.46 eV/atom. As for the crystal system: orthorhombic. The calculation puts the density at 6.10 Mg/m³. As for the space group: No. 31.

a = 6.2287 Å, b = 7.1149 Å, c = 11.3155 Å
α = 90.00°, β = 90.00°, γ = 90.00°
Last column: nearest neighbours and their distance in Å.
Atoms (fractional coordinates):
Sm 0.6298 0.6267 0.0000  6 Y 3.38-3.76, 4 Sm 3.45-3.54, 2 In 3.51-3.74
Y 0.9936 0.1252 0.7609  1 In 3.35, 6 Y 3.42-3.60, 4 Sm 3.48-3.65
In 0.1507 0.3661 0.0000  6 Y 3.35-3.60, 6 Sm 3.43-3.74
Y 0.9936 0.1252 0.2391  1 In 3.35, 6 Y 3.42-3.60, 4 Sm 3.48-3.65
Sm 0.4704 0.3867 0.2597  2 In 3.43-3.55, 4 Sm 3.45-3.54, 6 Y 3.48-3.76
Y 0.1645 0.8721 0.0000  4 Sm 3.38-3.76, 6 Y 3.42-3.74, 2 In 3.52-3.60
Sm 0.1298 0.3733 0.5000  6 Y 3.38-3.76, 4 Sm 3.45-3.54, 2 In 3.51-3.74
Y 0.4936 0.8748 0.2609  1 In 3.35, 6 Y 3.42-3.60, 4 Sm 3.48-3.65
Y 0.1423 0.8695 0.5000  6 Y 3.48-3.74, 2 In 3.49-3.58, 4 Sm 3.53-3.62
Y 0.6423 0.1305 0.0000  6 Y 3.48-3.74, 2 In 3.49-3.58, 4 Sm 3.53-3.62
Sm 0.9704 0.6133 0.7597  2 In 3.43-3.55, 4 Sm 3.45-3.54, 6 Y 3.48-3.76
Sm 0.9704 0.6133 0.2403  2 In 3.43-3.55, 4 Sm 3.45-3.54, 6 Y 3.48-3.76
Sm 0.4704 0.3867 0.7403  2 In 3.43-3.55, 4 Sm 3.45-3.54, 6 Y 3.48-3.76
In 0.6507 0.6339 0.5000  6 Y 3.35-3.60, 6 Sm 3.43-3.74
Y 0.4936 0.8748 0.7391  1 In 3.35, 6 Y 3.42-3.60, 4 Sm 3.48-3.65
Y 0.6645 0.1279 0.5000  4 Sm 3.38-3.76, 6 Y 3.42-3.74, 2 In 3.52-3.60

***

La2TbPmEr | GGA-PBE | relaxed

Calculated values
The total energy comes out at -4.43 eV/atom. As for the crystal system: orthorhombic. The calculation puts the density at 6.84 Mg/m³. As for the space group: No. 63.

a = 6.8893 Å, b = 11.1350 Å, c = 7.3127 Å
α = 139.58°, β = 90.00°, γ = 90.00°
Last column: nearest neighbours and their distance in Å.
Atoms (fractional coordinates):
La 0.5000 0.2496 0.0000  2 Tb 3.38, 2 Pm 3.41, 2 La 3.44
Er 0.2500 0.2489 0.4978  1 Tb 3.23, 1 Pm 3.32
La 0.5000 0.7504 0.0000  2 Tb 3.38, 2 Pm 3.41, 2 La 3.44
Er 0.7500 0.7511 0.5022  1 Tb 3.23, 1 Pm 3.32
La 0.0000 0.2496 0.0000  2 Tb 3.38, 2 Pm 3.41, 2 La 3.44
Tb 0.2500 0.9084 0.8169  1 Pm 2.94, 1 Er 3.23
La 0.0000 0.7504 0.0000  2 Tb 3.38, 2 Pm 3.41, 2 La 3.44
Pm 0.7500 0.4014 0.8028  1 Tb 2.94
Pm 0.2500 0.5986 0.1972  1 Tb 2.94
Tb 0.7500 0.0916 0.1831  1 Pm 2.94, 1 Er 3.23

***

LiGa2Mo | GGA-PBE | relaxed

Calculated values
The total energy comes out at -4.29 eV/atom. As for the crystal system: tetragonal. The calculation puts the density at 5.99 Mg/m³. As for the space group: No. 122.

a = 3.8960 Å, b = 3.8960 Å, c = 9.2709 Å
α = 77.87°, β = 77.87°, γ = 90.00°
Last column: nearest neighbours and their distance in Å.
Atoms (fractional coordinates):
Ga 0.3750 0.3630 0.7500  2 Mo 2.59, 2 Li 2.62, 4 Ga 2.69-2.82
Mo 0.7500 0.2500 0.5000  4 Ga 2.59, 4 Li 2.75
Ga 0.8750 0.8870 0.7500  2 Mo 2.59, 2 Li 2.62, 4 Ga 2.69-2.82
Li 0.5000 0.5000 0.0000  4 Ga 2.62, 4 Mo 2.75
Mo 0.0000 0.0000 0.0000  4 Ga 2.59, 4 Li 2.75
Ga 0.6370 0.1250 0.2500  2 Mo 2.59, 2 Li 2.62, 4 Ga 2.69-2.82
Ga 0.1130 0.6250 0.2500  2 Mo 2.59, 2 Li 2.62, 4 Ga 2.69-2.82
Li 0.2500 0.7500 0.5000  4 Ga 2.62, 4 Mo 2.75

***

Ga2Si2I | GGA-PBE | relaxed

Calculated values
The total energy comes out at -3.35 eV/atom. As for the crystal system: tetragonal. Its formation energy (no corrections) is 0.338 eV/atom. The calculation puts the density at 5.01 Mg/m³. As for the space group: No. 139.

a = 4.4417 Å, b = 4.4417 Å, c = 6.2667 Å
α = 69.24°, β = 69.24°, γ = 90.00°
Last column: nearest neighbours and their distance in Å.
Atoms (fractional coordinates):
Ga 0.3833 0.3833 0.2334  1 Ga 2.53, 4 Si 2.65
I 0.0000 0.0000 0.0000  8 Ga 3.39, 8 Si 3.50
Si 0.2500 0.7500 0.5000  4 Ga 2.65
Ga 0.6167 0.6167 0.7666  1 Ga 2.53, 4 Si 2.65
Si 0.7500 0.2500 0.5000  4 Ga 2.65

***

It is found that the magnetic moment values, taken in the order of the records, are 0.001, 0.000, 5.221, 12.073, 0.000, 0.001, 0.000, 0.000 Bohr magnetons per cell.